{
  "formula": "Sc2OsRuBr",
  "functional": "PBE",
  "state": "optimized geometry",
  "lattice": [[5.142, 0.000, 0.000], [0.000, 5.142, 0.000], [0.000, 0.000, 4.615]],
  "species": ["Sc", "Sc", "Os", "Ru", "Br"],
  "frac_coords": [[0.000, 0.500, 0.000], [0.500, 0.000, 0.000], [0.000, 0.000, 0.500], [0.000, 0.000, 0.000], [0.500, 0.500, 0.500]],
  "rho_g_cm3": 6.3,
  "dft_energy_ev_per_cell": -32.89
}

{
  "formula": "SrOsRu2Br",
  "functional": "PBE",
  "state": "optimized geometry",
  "lattice": [[4.601, 0.000, 0.000], [0.000, 4.601, 0.000], [0.000, 0.000, 5.376]],
  "species": ["Sr", "Os", "Ru", "Ru", "Br"],
  "frac_coords": [[0.000, 0.000, 0.000], [0.500, 0.500, 0.000], [0.000, 0.500, 0.500], [0.500, 0.000, 0.500], [0.000, 0.000, 0.500]],
  "rho_g_cm3": 8.2,
  "dft_energy_ev_per_cell": -24.64
}

{
  "formula": "OsS2Br",
  "functional": "PBE",
  "state": "optimized geometry",
  "lattice": [[6.348, 0.000, 0.000], [0.000, 6.348, 0.000], [0.000, 0.000, 6.348]],
  "species": ["Os", "Os", "Os", "Os", "S", "S", "S", "S", "S", "S", "S", "S", "Br", "Br", "Br", "Br"],
  "frac_coords": [[0.000, 0.000, 0.000], [0.000, 0.500, 0.500], [0.500, 0.000, 0.500], [0.500, 0.500, 0.000], [0.250, 0.250, 0.250], [0.250, 0.250, 0.750], [0.250, 0.750, 0.250], [0.250, 0.750, 0.750], [0.750, 0.250, 0.250], [0.750, 0.250, 0.750], [0.750, 0.750, 0.250], [0.750, 0.750, 0.750], [0.000, 0.000, 0.500], [0.000, 0.500, 0.000], [0.500, 0.000, 0.000], [0.500, 0.500, 0.500]],
  "rho_g_cm3": 8.7,
  "dft_energy_ev_per_cell": -65.30
}

{
  "formula": "OsS3Br",
  "functional": "PBE",
  "state": "optimized geometry",
  "lattice": [[4.639, 0.000, 0.000], [0.000, 4.639, 0.000], [0.000, 0.000, 4.639]],
  "species": ["Os", "S", "S", "S", "Br"],
  "frac_coords": [[0.000, 0.000, 0.000], [0.000, 0.000, 0.500], [0.000, 0.500, 0.000], [0.500, 0.000, 0.000], [0.500, 0.500, 0.500]],
  "rho_g_cm3": 6.1,
  "dft_energy_ev_per_cell": -22.53
}

{
  "formula": "OsS2Br",
  "functional": "PBE",
  "state": "optimized geometry",
  "lattice": [[3.656, 0.000, 0.000], [-1.828, 3.166, 0.000], [0.000, 0.000, 21.648]],
  "species": ["Os", "Os", "Os", "S", "S", "S", "S", "S", "S", "Br", "Br", "Br"],
  "frac_coords": [[0.000, 0.000, 0.000], [0.333, 0.667, 0.667], [0.667, 0.333, 0.333], [0.000, 0.000, 0.384], [0.000, 0.000, 0.616], [0.333, 0.667, 0.051], [0.333, 0.667, 0.282], [0.667, 0.333, 0.718], [0.667, 0.333, 0.949], [0.000, 0.000, 0.500], [0.333, 0.667, 0.167], [0.667, 0.333, 0.833]],
  "rho_g_cm3": 6.6,
  "dft_energy_ev_per_cell": -63.68
}

{
  "formula": "OsS2Br",
  "functional": "PBE",
  "state": "optimized geometry",
  "lattice": [[6.491, 0.000, 0.000], [0.000, 6.491, 0.000], [0.000, 0.000, 9.334]],
  "species": ["Os", "Os", "Os", "Os", "S", "S", "S", "S", "S", "S", "S", "S", "Br", "Br", "Br", "Br"],
  "frac_coords": [[0.000, 0.000, 0.000], [0.000, 0.500, 0.250], [0.500, 0.000, 0.750], [0.500, 0.500, 0.500], [0.144, 0.250, 0.125], [0.250, 0.644, 0.375], [0.250, 0.856, 0.875], [0.356, 0.250, 0.625], [0.644, 0.750, 0.625], [0.750, 0.144, 0.875], [0.750, 0.356, 0.375], [0.856, 0.750, 0.125], [0.000, 0.000, 0.500], [0.000, 0.500, 0.750], [0.500, 0.000, 0.250], [0.500, 0.500, 0.000]],
  "rho_g_cm3": 5.6,
  "dft_energy_ev_per_cell": -82.01
}

{
  "formula": "Os3SBr",
  "functional": "PBE",
  "state": "optimized geometry",
  "lattice": [[4.585, 0.000, 0.000], [0.000, 4.585, 0.000], [0.000, 0.000, 4.585]],
  "species": ["Os", "Os", "Os", "S", "Br"],
  "frac_coords": [[0.000, 0.000, 0.500], [0.000, 0.500, 0.000], [0.500, 0.000, 0.000], [0.500, 0.500, 0.500], [0.000, 0.000, 0.000]],
  "rho_g_cm3": 11.8,
  "dft_energy_ev_per_cell": -25.14
}

{
  "formula": "OsS2Br5",
  "functional": "PBE",
  "state": "optimized geometry",
  "lattice": [[5.520, 0.000, 0.000], [-1.759, 7.183, 0.000], [-1.733, -3.331, 7.017]],
  "species": ["Os", "S", "S", "Br", "Br", "Br", "Br", "Br"],
  "frac_coords": [[0.000, 0.000, 0.000], [0.368, 0.150, 0.215], [0.601, 0.685, 0.807], [0.061, 0.095, 0.742], [0.114, 0.680, 0.837], [0.470, 0.612, 0.492], [0.776, 0.251, 0.074], [0.796, 0.835, 0.196]],
  "rho_g_cm3": 3.9,
  "dft_energy_ev_per_cell": -27.77
}

{
  "formula": "OsSBr3",
  "functional": "PBE",
  "state": "optimized geometry",
  "lattice": [[4.526, -7.092, 0.000], [4.526, 7.092, 0.000], [-4.123, 0.000, 4.816]],
  "species": ["Os", "Os", "S", "S", "Br", "Br", "Br", "Br", "Br", "Br"],
  "frac_coords": [[0.077, 0.923, 0.500], [0.923, 0.077, 0.000], [0.632, 0.991, 0.688], [0.991, 0.632, 0.188], [0.029, 0.414, 0.377], [0.160, 0.279, 0.887], [0.279, 0.160, 0.387], [0.414, 0.029, 0.877], [0.747, 0.868, 0.165], [0.868, 0.747, 0.665]],
  "rho_g_cm3": 5.0,
  "dft_energy_ev_per_cell": -41.01
}

{
  "formula": "OsSBr2",
  "functional": "PBE",
  "state": "optimized geometry",
  "lattice": [[3.848, 0.000, 0.000], [-1.924, 3.333, 0.000], [0.000, 0.000, 22.165]],
  "species": ["Os", "Os", "Os", "S", "S", "S", "Br", "Br", "Br", "Br", "Br", "Br"],
  "frac_coords": [[0.000, 0.000, 0.000], [0.333, 0.667, 0.667], [0.667, 0.333, 0.333], [0.000, 0.000, 0.500], [0.333, 0.667, 0.167], [0.667, 0.333, 0.833], [0.000, 0.000, 0.390], [0.000, 0.000, 0.610], [0.333, 0.667, 0.057], [0.333, 0.667, 0.276], [0.667, 0.333, 0.724], [0.667, 0.333, 0.943]],
  "rho_g_cm3": 6.7,
  "dft_energy_ev_per_cell": -45.23
}

{
  "formula": "OsS2Br",
  "functional": "PBE",
  "state": "optimized geometry",
  "lattice": [[2.821, 0.000, 0.000], [-1.410, 2.443, 0.000], [0.000, 0.000, 38.246]],
  "species": ["Os", "Os", "Os", "S", "S", "S", "S", "S", "S", "Br", "Br", "Br"],
  "frac_coords": [[0.000, 0.000, 0.000], [0.333, 0.667, 0.667], [0.667, 0.333, 0.333], [0.000, 0.000, 0.059], [0.000, 0.000, 0.941], [0.333, 0.667, 0.608], [0.333, 0.667, 0.725], [0.667, 0.333, 0.275], [0.667, 0.333, 0.392], [0.000, 0.000, 0.500], [0.333, 0.667, 0.167], [0.667, 0.333, 0.833]],
  "rho_g_cm3": 6.3,
  "dft_energy_ev_per_cell": -57.28
}

{
  "formula": "Os2SBr",
  "functional": "PBE",
  "state": "optimized geometry",
  "lattice": [[4.412, 0.000, 0.000], [0.000, 4.412, 0.000], [0.000, 0.000, 14.948]],
  "species": ["Os", "Os", "Os", "Os", "Os", "Os", "Os", "Os", "S", "S", "S", "S", "Br", "Br", "Br", "Br"],
  "frac_coords": [[0.167, 0.250, 0.125], [0.250, 0.667, 0.375], [0.250, 0.833, 0.875], [0.333, 0.250, 0.625], [0.667, 0.750, 0.625], [0.750, 0.167, 0.875], [0.750, 0.333, 0.375], [0.833, 0.750, 0.125], [0.000, 0.000, 0.000], [0.000, 0.500, 0.250], [0.500, 0.000, 0.750], [0.500, 0.500, 0.500], [0.000, 0.000, 0.500], [0.000, 0.500, 0.750], [0.500, 0.000, 0.250], [0.500, 0.500, 0.000]],
  "rho_g_cm3": 11.2,
  "dft_energy_ev_per_cell": -100.36
}